The following is a PBE calculation of CePm3C3 after structural relaxation, from Alexandria.

The structure in POSCAR format:
```
CePm3C3
1.0
-3.922 3.295 -1.463
-0.393 -3.533 -3.968
-2.601 -2.726 3.767
Ce Pm C
1 3 3
direct
0.054 0.054 0.054
0.609 0.609 0.154
0.609 0.154 0.609
0.154 0.609 0.609
0.463 0.955 0.955
0.955 0.955 0.463
0.955 0.463 0.955
```

Calculated values
Final energy (eV/f.u.): -46.2
Symmetry: No. 160